First-principles (PBE-GGA) data for an optimized crystal structure of Te2BrCl, as listed in Alexandria.

Summary:
- energy above the most stable polymorph in this dataset (eV/atom) = 0.6972
- symmetry = Fm-3m
- density (g cm⁻³) = 5.899

```
Te2BrCl
1.0
1.359 -3.443 3.771
-3.385 -3.782 1.470
0.966 -5.042 -1.250
Te Cl Br
2 1 1
Cartesian
-0.794 -9.200 2.993
-0.265 -3.067 0.998
0.000 0.000 0.000
-0.530 -6.133 1.995
```